DFT (GGA-PBE) results for V12As5Ir3 after structural relaxation.

Properties
Total magnetization: 0.00 μB/atom
Calculated density: 6.9 Mg/m³
Symmetry: Ia-3d
Calculated volume: 373.6 Å³/f.u.
E_form: 223 meV per atom
N(E_F): 1.452 states/eV/atom

Cell lengths 12.4746, 12.4746, 12.4746 Å; angles 109.47, 109.47, 109.47 degrees
Closest atoms and distances in Å follow each position.
Fractional positions:
V  0.0690  0.2294  0.1540  2 As 2.44-2.49, 1 V 2.48, 2 Ir 2.51-2.60
V  0.0690  0.3396  0.9150  2 As 2.44-2.49, 1 V 2.48, 2 Ir 2.51-2.60
V  0.0754  0.7294  0.6604  2 As 2.44-2.49, 1 V 2.48, 2 Ir 2.51-2.60
V  0.0754  0.8460  0.4150  2 As 2.44-2.49, 1 V 2.48, 2 Ir 2.51-2.60
V  0.0850  0.6540  0.4246  2 As 2.44-2.49, 1 V 2.48, 2 Ir 2.51-2.60
V  0.0850  0.9310  0.6604  2 As 2.44-2.49, 1 V 2.48, 2 Ir 2.51-2.60
V  0.1540  0.0690  0.2294  2 As 2.44-2.49, 1 V 2.48, 2 Ir 2.51-2.60
V  0.1540  0.5850  0.9246  2 As 2.44-2.49, 1 V 2.48, 2 Ir 2.51-2.60
V  0.1604  0.2294  0.5754  2 As 2.44-2.49, 1 V 2.48, 2 Ir 2.51-2.60
V  0.1604  0.4310  0.5850  2 As 2.44-2.49, 1 V 2.48, 2 Ir 2.51-2.60
V  0.2294  0.1540  0.0690  2 As 2.44-2.49, 1 V 2.48, 2 Ir 2.51-2.60
V  0.2294  0.5754  0.1604  2 As 2.44-2.49, 1 V 2.48, 2 Ir 2.51-2.60
V  0.2706  0.3396  0.9246  2 As 2.44-2.49, 1 V 2.48, 2 Ir 2.51-2.60
V  0.2706  0.4310  0.3460  2 As 2.44-2.49, 1 V 2.48, 2 Ir 2.51-2.60
V  0.3396  0.9150  0.0690  2 As 2.44-2.49, 1 V 2.48, 2 Ir 2.51-2.60
V  0.3396  0.9246  0.2706  2 As 2.44-2.49, 1 V 2.48, 2 Ir 2.51-2.60
V  0.3460  0.2706  0.4310  2 As 2.44-2.49, 1 V 2.48, 2 Ir 2.51-2.60
V  0.3460  0.5754  0.9150  2 As 2.44-2.49, 1 V 2.48, 2 Ir 2.51-2.60
V  0.4150  0.0754  0.8460  2 As 2.44-2.49, 1 V 2.48, 2 Ir 2.51-2.60
V  0.4150  0.8396  0.5690  2 As 2.44-2.49, 1 V 2.48, 2 Ir 2.51-2.60
V  0.4246  0.0850  0.6540  2 As 2.44-2.49, 1 V 2.48, 2 Ir 2.51-2.60
V  0.4246  0.8396  0.7706  2 As 2.44-2.49, 1 V 2.48, 2 Ir 2.51-2.60
V  0.4310  0.3460  0.2706  2 As 2.44-2.49, 1 V 2.48, 2 Ir 2.51-2.60
V  0.4310  0.5850  0.1604  2 As 2.44-2.49, 1 V 2.48, 2 Ir 2.51-2.60
V  0.5690  0.4150  0.8396  2 As 2.44-2.49, 1 V 2.48, 2 Ir 2.51-2.60
V  0.5690  0.6540  0.7294  2 As 2.44-2.49, 1 V 2.48, 2 Ir 2.51-2.60
V  0.5754  0.1604  0.2294  2 As 2.44-2.49, 1 V 2.48, 2 Ir 2.51-2.60
V  0.5754  0.9150  0.3460  2 As 2.44-2.49, 1 V 2.48, 2 Ir 2.51-2.60
V  0.5850  0.1604  0.4310  2 As 2.44-2.49, 1 V 2.48, 2 Ir 2.51-2.60
V  0.5850  0.9246  0.1540  2 As 2.44-2.49, 1 V 2.48, 2 Ir 2.51-2.60
V  0.6540  0.4246  0.0850  2 As 2.44-2.49, 1 V 2.48, 2 Ir 2.51-2.60
V  0.6540  0.7294  0.5690  2 As 2.44-2.49, 1 V 2.48, 2 Ir 2.51-2.60
V  0.6604  0.0754  0.7294  2 As 2.44-2.49, 1 V 2.48, 2 Ir 2.51-2.60
V  0.6604  0.0850  0.9310  2 As 2.44-2.49, 1 V 2.48, 2 Ir 2.51-2.60
V  0.7294  0.5690  0.6540  2 As 2.44-2.49, 1 V 2.48, 2 Ir 2.51-2.60
V  0.7294  0.6604  0.0754  2 As 2.44-2.49, 1 V 2.48, 2 Ir 2.51-2.60
V  0.7706  0.4246  0.8396  2 As 2.44-2.49, 1 V 2.48, 2 Ir 2.51-2.60
V  0.7706  0.8460  0.9310  2 As 2.44-2.49, 1 V 2.48, 2 Ir 2.51-2.60
V  0.8396  0.5690  0.4150  2 As 2.44-2.49, 1 V 2.48, 2 Ir 2.51-2.60
V  0.8396  0.7706  0.4246  2 As 2.44-2.49, 1 V 2.48, 2 Ir 2.51-2.60
V  0.8460  0.4150  0.0754  2 As 2.44-2.49, 1 V 2.48, 2 Ir 2.51-2.60
V  0.8460  0.9310  0.7706  2 As 2.44-2.49, 1 V 2.48, 2 Ir 2.51-2.60
V  0.9150  0.0690  0.3396  2 As 2.44-2.49, 1 V 2.48, 2 Ir 2.51-2.60
V  0.9150  0.3460  0.5754  2 As 2.44-2.49, 1 V 2.48, 2 Ir 2.51-2.60
V  0.9246  0.1540  0.5850  2 As 2.44-2.49, 1 V 2.48, 2 Ir 2.51-2.60
V  0.9246  0.2706  0.3396  2 As 2.44-2.49, 1 V 2.48, 2 Ir 2.51-2.60
V  0.9310  0.6604  0.0850  2 As 2.44-2.49, 1 V 2.48, 2 Ir 2.51-2.60
V  0.9310  0.7706  0.8460  2 As 2.44-2.49, 1 V 2.48, 2 Ir 2.51-2.60
As  0.0000  0.0000  0.0000  6 V 2.49
As  0.0000  0.0000  0.5000  6 V 2.49
As  0.0000  0.5000  0.0000  6 V 2.49
As  0.0000  0.5000  0.5000  6 V 2.49
As  0.1250  0.7500  0.8750  4 V 2.44
As  0.1250  0.8750  0.2500  4 V 2.44
As  0.2500  0.1250  0.8750  4 V 2.44
As  0.2500  0.6250  0.3750  4 V 2.44
As  0.3750  0.2500  0.6250  4 V 2.44
As  0.3750  0.6250  0.7500  4 V 2.44
As  0.5000  0.0000  0.0000  6 V 2.49
As  0.5000  0.0000  0.5000  6 V 2.49
As  0.5000  0.5000  0.0000  6 V 2.49
As  0.5000  0.5000  0.5000  6 V 2.49
As  0.6250  0.3750  0.2500  4 V 2.44
As  0.6250  0.7500  0.3750  4 V 2.44
As  0.7500  0.3750  0.6250  4 V 2.44
As  0.7500  0.8750  0.1250  4 V 2.44
As  0.8750  0.1250  0.7500  4 V 2.44
As  0.8750  0.2500  0.1250  4 V 2.44
Ir  0.1250  0.2500  0.3750  8 V 2.51-2.60
Ir  0.1250  0.3750  0.7500  8 V 2.51-2.60
Ir  0.2500  0.3750  0.1250  8 V 2.51-2.60
Ir  0.2500  0.8750  0.6250  8 V 2.51-2.60
Ir  0.3750  0.1250  0.2500  8 V 2.51-2.60
Ir  0.3750  0.7500  0.1250  8 V 2.51-2.60
Ir  0.6250  0.2500  0.8750  8 V 2.51-2.60
Ir  0.6250  0.8750  0.7500  8 V 2.51-2.60
Ir  0.7500  0.1250  0.3750  8 V 2.51-2.60
Ir  0.7500  0.6250  0.8750  8 V 2.51-2.60
Ir  0.8750  0.6250  0.2500  8 V 2.51-2.60
Ir  0.8750  0.7500  0.6250  8 V 2.51-2.60